Entry 1:
A geometry-optimized HgMoBr2 structure, computed with GGA-PBE.

Size of the total moment, μB per formula unit: 0.00
Energy, eV per atom: -3.64
Calculated density, g cm⁻³: 7.2
Uncorrected formation energy, eV/atom: -0.023
Crystal system: trigonal
Offset from the most stable computed form, meV/atom: 12

CIF file:
```
data_HgMoBr2
_space_group_name_H-M_alt 'P 1'
_space_group_IT_number 1
_space_group_name_Hall 'P 1'
_cell_length_a 10.853
_cell_length_b 10.853
_cell_length_c 10.853
_cell_angle_alpha 17.92
_cell_angle_beta 17.92
_cell_angle_gamma 17.92
loop_
_atom_site_label
_atom_site_fract_x
_atom_site_fract_y
_atom_site_fract_z
Hg1 0.000 0.000 0.000
Mo1 0.500 0.500 0.500
Br1 0.222 0.222 0.222
Br2 0.778 0.778 0.778
```

Entry 2:
A geometry-optimized Tb5Nd2SmDy structure, computed with GGA-PBE.

Size of the total moment, μB per formula unit: 0.00
Formation enthalpy at 0 K, eV/f.u.: 2.4
Energy, eV per atom: -4.40
Calculated density, g cm⁻³: 7.8
Crystal system: tetragonal

CIF file:
```
data_Tb5Nd2SmDy
_space_group_name_H-M_alt 'P 1'
_space_group_IT_number 1
_space_group_name_Hall 'P 1'
_cell_length_a 9.988
_cell_length_b 9.988
_cell_length_c 9.988
_cell_angle_alpha 128.37
_cell_angle_beta 128.37
_cell_angle_gamma 76.03
loop_
_atom_site_label
_atom_site_fract_x
_atom_site_fract_y
_atom_site_fract_z
Tb1 0.000 0.000 0.000
Tb2 0.072 0.572 0.922
Tb3 0.150 0.072 0.500
Tb4 0.350 0.850 0.922
Tb5 0.428 0.350 0.500
Tb6 0.500 0.500 0.000
Tb7 0.572 0.650 0.500
Tb8 0.650 0.150 0.078
Tb9 0.850 0.928 0.500
Tb10 0.928 0.428 0.078
Nd1 0.118 0.382 0.500
Nd2 0.382 0.882 0.264
Nd3 0.618 0.118 0.736
Nd4 0.882 0.618 0.500
Sm1 0.250 0.250 0.000
Sm2 0.750 0.750 0.000
Dy1 0.250 0.750 0.500
Dy2 0.750 0.250 0.500
```

Entry 3:
A geometry-optimized RbTbHgO3 structure, computed with GGA-PBE.

Size of the total moment, μB per formula unit: 0.00
Energy, eV per atom: -5.41
Calculated density, g cm⁻³: 6.7
Uncorrected formation energy, eV/atom: -1.947
Crystal system: monoclinic

CIF file:
```
data_RbTbHgO3
_space_group_name_H-M_alt 'P 1'
_space_group_IT_number 1
_space_group_name_Hall 'P 1'
_cell_length_a 7.300
_cell_length_b 3.616
_cell_length_c 9.483
_cell_angle_alpha 90.00
_cell_angle_beta 101.88
_cell_angle_gamma 90.00
loop_
_atom_site_label
_atom_site_fract_x
_atom_site_fract_y
_atom_site_fract_z
Rb1 0.035 0.250 0.332
Rb2 0.965 0.750 0.668
Tb1 0.467 0.250 0.651
Tb2 0.533 0.750 0.349
Hg1 0.299 0.250 0.001
Hg2 0.701 0.750 0.999
O1 0.240 0.250 0.787
O2 0.342 0.750 0.516
O3 0.360 0.250 0.218
O4 0.640 0.750 0.782
O5 0.658 0.250 0.484
O6 0.760 0.750 0.213
```

Entry 4:
A geometry-optimized CaAcSi2 structure, computed with GGA-PBE.

Size of the total moment, μB per formula unit: 0.00
Energy, eV per atom: -4.50
Calculated density, g cm⁻³: 5.1
Uncorrected formation energy, eV/atom: -0.260
Crystal system: tetragonal

CIF file:
```
data_CaAcSi2
_space_group_name_H-M_alt 'P 1'
_space_group_IT_number 1
_space_group_name_Hall 'P 1'
_cell_length_a 4.978
_cell_length_b 4.978
_cell_length_c 4.228
_cell_angle_alpha 90.00
_cell_angle_beta 90.00
_cell_angle_gamma 90.00
loop_
_atom_site_label
_atom_site_fract_x
_atom_site_fract_y
_atom_site_fract_z
Ca1 0.000 0.000 0.000
Ac1 0.500 0.500 0.000
Si1 0.000 0.500 0.500
Si2 0.500 0.000 0.500
```

Entry 5:
A geometry-optimized CaNpSb2 structure, computed with GGA-PBE.

Size of the total moment, μB per formula unit: 4.49
Energy, eV per atom: -6.25
Calculated density, g cm⁻³: 7.9
Uncorrected formation energy, eV/atom: -0.457
Crystal system: tetragonal
Offset from the most stable computed form, meV/atom: 75

CIF file:
```
data_CaNpSb2
_space_group_name_H-M_alt 'P 1'
_space_group_IT_number 1
_space_group_name_Hall 'P 1'
_cell_length_a 3.618
_cell_length_b 3.618
_cell_length_c 8.358
_cell_angle_alpha 90.00
_cell_angle_beta 90.00
_cell_angle_gamma 90.00
loop_
_atom_site_label
_atom_site_fract_x
_atom_site_fract_y
_atom_site_fract_z
Ca1 0.000 0.000 0.000
Np1 0.000 0.000 0.500
Sb1 0.500 0.500 0.255
Sb2 0.500 0.500 0.745
```

Entry 6:
A geometry-optimized Na4Cd6Pb structure, computed with GGA-PBE.

Size of the total moment, μB per formula unit: 0.00
Formation enthalpy at 0 K, eV/f.u.: -0.4
Energy, eV per atom: -1.35
Calculated density, g cm⁻³: 5.2
Crystal system: tetragonal

CIF file:
```
data_Na4Cd6Pb
_space_group_name_H-M_alt 'P 1'
_space_group_IT_number 1
_space_group_name_Hall 'P 1'
_cell_length_a 8.868
_cell_length_b 8.868
_cell_length_c 8.868
_cell_angle_alpha 137.61
_cell_angle_beta 137.61
_cell_angle_gamma 61.51
loop_
_atom_site_label
_atom_site_fract_x
_atom_site_fract_y
_atom_site_fract_z
Na1 0.022 0.620 0.000
Na2 0.380 0.380 0.403
Na3 0.620 0.022 0.000
Na4 0.978 0.978 0.597
Cd1 0.000 0.500 0.500
Cd2 0.221 0.221 0.665
Cd3 0.444 0.779 0.000
Cd4 0.500 0.000 0.500
Cd5 0.556 0.556 0.335
Cd6 0.779 0.444 0.000
Pb1 0.000 0.000 0.000
```